## BaSiHS2 (PBE)

Data for a relaxed BaSiHS2 crystal.

Geometry as POSCAR:
```
BaSiHS2
1.0
-4.0715 1.8494 1.7444
1.2151 -1.0744 3.9752
2.1489 4.2635 0.4955
Ba Si S H
1 1 2 1
Direct
0.0000 0.5000 0.0000 Ba
0.5000 0.5000 0.5000 Si
0.5000 0.0000 0.0000 S
0.0000 0.0000 0.5000 S
0.0000 0.0000 0.0000 H
```

Energy, eV per atom: -3.622
Symmetry: P4/mmm (123)